A relaxed La4Nd5Hg crystal, computed with PBE.

Lattice parameters (Å, degrees): 3.7428 3.7428 24.5783 90.00 90.00 90.00
Positions (direct):
La1 0.0000 0.0000 0.1048
La2 0.0000 0.0000 0.3151
La3 0.0000 0.0000 0.6849
La4 0.0000 0.0000 0.8952
Nd1 0.5000 0.5000 0.0000
Nd2 0.5000 0.5000 0.2101
Nd3 0.5000 0.5000 0.4188
Nd4 0.5000 0.5000 0.5812
Nd5 0.5000 0.5000 0.7899
Hg1 0.0000 0.0000 0.5000

Raw total energy = -44.75 eV for the cell shown
V = 34.4 Å³ per atom
Energy of formation from the pure elements = -0.090 eV per atom